DFT (PBE-GGA) results for crystalline TaNi2Sb at its relaxed geometry.

E ... -6.86 eV per atom
Formation energy (no corrections) ... 25 meV per atom

Unit cell a=4.4346 b=4.4346 c=5.1407 alpha=82.38 beta=82.38 gamma=39.78
Atoms (fractional coordinates):
Ni1 0.9907 0.9907 0.0406
Ni2 0.5093 0.5093 0.4594
Sb1 0.7500 0.7500 0.7500
Ta1 0.2500 0.2500 0.2500